# Er2ThRu

Er2ThRu after structural relaxation (PBE, Alexandria via LeMat-Bulk).

abc: 3.4062 3.4062 32.2849
angles: 90.00 90.00 120.00
Space group R-3m (No. 166, hexagonal axes)
Unique sites:
1 Er 0.0000 0.0000 0.1062
2 Th 0.0000 0.0000 0.0000
3 Ru 0.0000 0.0000 0.5000

**Distance to the lowest polymorph of the same formula**: 0.468 eV/atom
**Total DFT energy (no corrections)**: -6.355 eV per atom
**Energy of formation from the pure elements**: 0.10 eV/atom